Entry 1:
Compound: Pr6Pd5Au
Source: Alexandria
Functional: PBE
Structure: relaxed

N(E_F)	6.66	states/eV/f.u.
relative energy among the computed polymorphs	46.0	meV/atom
magnetic moment	0.0	Bohr magnetons per cell

The structure in CIF format:
```
data_Pr6Pd5Au
_cell_length_a 7.402
_cell_length_b 12.750
_cell_length_c 7.388
_cell_angle_alpha 90.00
_cell_angle_beta 109.37
_cell_angle_gamma 90.00
_space_group_name_H-M_alt 'C 1 2/m 1'
_space_group_IT_number 12
_space_group_name_Hall '-C 2y'
loop_
_atom_site_label
_atom_site_type_symbol
_atom_site_fract_x
_atom_site_fract_y
_atom_site_fract_z
_atom_site_occupancy
Pr1 Pr 0.240 0.000 0.250 1
Pr2 Pr 0.243 0.171 0.743 1
Pd1 Pd 0.000 0.000 0.500 1
Pd2 Pd 0.000 0.168 0.000 1
Pd3 Pd 0.000 0.338 0.500 1
Au1 Au 0.000 0.500 0.000 1
```


Entry 2:
Compound: PuTh2Sc4
Source: Alexandria
Functional: PBE
Structure: relaxed

N(E_F)	16.17	states/eV/f.u.
final energy	-7.622	eV per atom
magnetic moment	24.7	Bohr magnetons per cell

The structure in CIF format:
```
data_PuTh2Sc4
_cell_length_a 3.370
_cell_length_b 16.523
_cell_length_c 13.928
_cell_angle_alpha 90.00
_cell_angle_beta 90.00
_cell_angle_gamma 90.00
_space_group_name_H-M_alt 'C m c m'
_space_group_IT_number 63
_space_group_name_Hall '-C 2c 2'
loop_
_atom_site_label
_atom_site_type_symbol
_atom_site_fract_x
_atom_site_fract_y
_atom_site_fract_z
_atom_site_occupancy
Pu1 Pu 0.000 0.021 0.250 1
Th1 Th 0.000 0.168 0.056 1
Sc1 Sc 0.000 0.284 0.750 1
Sc2 Sc 0.000 0.359 0.142 1
Sc3 Sc 0.000 0.500 0.000 1
```


Entry 3:
Compound: LaPtW
Source: Alexandria
Functional: PBE
Structure: relaxed

N(E_F)	1.68	states/eV/f.u.
relative energy among the computed polymorphs	87.4	meV/atom
magnetic moment	0.0	Bohr magnetons per cell

The structure in CIF format:
```
data_LaPtW
_cell_length_a 3.165
_cell_length_b 3.165
_cell_length_c 12.700
_cell_angle_alpha 90.00
_cell_angle_beta 90.00
_cell_angle_gamma 90.00
_space_group_name_H-M_alt 'I 4 m m'
_space_group_IT_number 107
_space_group_name_Hall 'I 4 -2'
loop_
_atom_site_label
_atom_site_type_symbol
_atom_site_fract_x
_atom_site_fract_y
_atom_site_fract_z
_atom_site_occupancy
La1 La 0.000 0.000 0.000 1
Pt1 Pt 0.000 0.000 0.697 1
W1 W 0.000 0.000 0.310 1
```


Entry 4:
Compound: Nb2TcH6
Source: Alexandria
Functional: PBE
Structure: relaxed

N(E_F)	4.91	states/eV/f.u.
final energy	-5.754	eV per atom
magnetic moment	0.0	Bohr magnetons per cell

The structure in CIF format:
```
data_Nb2TcH6
_cell_length_a 3.136
_cell_length_b 4.507
_cell_length_c 9.574
_cell_angle_alpha 90.00
_cell_angle_beta 90.00
_cell_angle_gamma 90.00
_space_group_name_H-M_alt 'I m m m'
_space_group_IT_number 71
_space_group_name_Hall '-I 2 2'
loop_
_atom_site_label
_atom_site_type_symbol
_atom_site_fract_x
_atom_site_fract_y
_atom_site_fract_z
_atom_site_occupancy
Nb1 Nb 0.000 0.000 0.164 1
Tc1 Tc 0.000 0.000 0.500 1
H1 H 0.000 0.236 0.337 1
H2 H 0.000 0.265 0.000 1
```


N(E_F) of number 3 (LaPtW)?
1.68 states/eV/f.u.